(1)
The following is a PBE calculation of a geometry-optimized Y4Er3Tm5 structure, from Alexandria.

Properties
The polymorph energy (0 for the lowest one) is 0.2196 eV/atom. Its energy of formation from the pure elements is 23.9 kJ per mole of atoms. As for the space group: C2/m (12).

a b c (Å): 8.4561 8.4561 9.2269
angles (deg): 115.01 115.01 40.32
Last column: nearest neighbours and their distance in Å.
Positions (direct):
1 Y 0.0805 0.0805 0.4386  1 Y 3.23, 1 Er 3.36, 3 Tm 3.39-3.51
2 Y 0.2134 0.2134 0.8786  3 Er 3.31-3.49, 3 Y 3.54-3.64, 3 Tm 3.59-3.63
3 Y 0.7866 0.7866 0.1214  3 Er 3.31-3.49, 3 Y 3.54-3.64, 3 Tm 3.59-3.63
4 Y 0.9195 0.9195 0.5614  1 Y 3.23, 1 Er 3.36, 3 Tm 3.39-3.51
5 Er 0.2108 0.2108 0.2354  5 Tm 3.06-3.39, 2 Y 3.31-3.36
6 Er 0.5000 0.5000 0.0000  2 Tm 2.91
7 Er 0.7892 0.7892 0.7646  5 Tm 3.06-3.39, 2 Y 3.31-3.36
8 Tm 0.0000 0.0000 0.0000  4 Er 2.91-3.06
9 Tm 0.3279 0.3279 0.6160  4 Er 3.15-3.39, 3 Y 3.39-3.51
10 Tm 0.4277 0.4277 0.2993  2 Er 3.22-3.44, 2 Tm 3.37-3.60, 2 Y 3.59
11 Tm 0.5723 0.5723 0.7007  2 Er 3.22-3.44, 2 Tm 3.37-3.60, 2 Y 3.59
12 Tm 0.6721 0.6721 0.3840  4 Er 3.15-3.39, 3 Y 3.39-3.51

***

(2)
The following is a PBE calculation of a geometry-optimized Y3Er2Tm5 structure, from Alexandria.

Properties
The polymorph energy (0 for the lowest one) is 0.1491 eV/atom. Its energy of formation from the pure elements is 34.1 kJ per mole of atoms. As for the space group: Ibam (72).

a b c (Å): 10.9690 10.9690 10.9690
angles (deg): 109.42 80.08 147.11
Last column: nearest neighbours and their distance in Å.
Positions (direct):
1 Y 0.2474 0.1565 0.4039  4 Er 3.44-3.63, 4 Tm 3.46-3.63
2 Y 0.2500 0.2500 0.0000  2 Y 3.11, 2 Tm 3.19, 4 Er 3.32
3 Y 0.2526 0.6565 0.9091  4 Er 3.44-3.63, 4 Tm 3.46-3.63
4 Y 0.7474 0.3435 0.0909  4 Er 3.44-3.63, 4 Tm 3.46-3.63
5 Y 0.7500 0.7500 0.0000  2 Y 3.11, 2 Tm 3.19, 4 Er 3.32
6 Y 0.7526 0.8435 0.5961  4 Er 3.44-3.63, 4 Tm 3.46-3.63
7 Er 0.1566 0.8965 0.0531  1 Tm 3.15, 5 Y 3.32-3.52
8 Er 0.3434 0.3965 0.7400  1 Tm 3.15, 5 Y 3.32-3.52
9 Er 0.6566 0.6035 0.2600  1 Tm 3.15, 5 Y 3.32-3.52
10 Er 0.8434 0.1035 0.9469  1 Tm 3.15, 5 Y 3.32-3.52
11 Tm 0.1558 0.4006 0.5564  1 Er 3.15, 2 Tm 3.29, 1 Y 3.46
12 Tm 0.2500 0.5017 0.2517  3 Tm 3.11-3.15, 1 Y 3.19
13 Tm 0.2500 0.7500 0.5000  8 Tm 3.11-3.29
14 Tm 0.2500 0.9983 0.7483  3 Tm 3.11-3.15, 1 Y 3.19
15 Tm 0.3442 0.9006 0.2449  1 Er 3.15, 2 Tm 3.29, 1 Y 3.46
16 Tm 0.6558 0.0994 0.7551  1 Er 3.15, 2 Tm 3.29, 1 Y 3.46
17 Tm 0.7500 0.0017 0.2517  3 Tm 3.11-3.15, 1 Y 3.19
18 Tm 0.7500 0.2500 0.5000  8 Tm 3.11-3.29
19 Tm 0.7500 0.4983 0.7483  3 Tm 3.11-3.15, 1 Y 3.19
20 Tm 0.8442 0.5994 0.4436  1 Er 3.15, 2 Tm 3.29, 1 Y 3.46

***

(3)
The following is a PBE calculation of a geometry-optimized Y2Er3Tm structure, from Alexandria.

Properties
The polymorph energy (0 for the lowest one) is 0.3309 eV/atom. Its energy of formation from the pure elements is 34.6 kJ per mole of atoms. As for the space group: Cmc2_1 (36).

a b c (Å): 8.9212 8.9212 5.5452
angles (deg): 90.00 90.00 67.16
Last column: nearest neighbours and their distance in Å.
Positions (direct):
1 Y 0.0064 0.2106 0.0000  4 Er 3.18-3.56, 3 Y 3.23-3.43, 2 Tm 3.44-3.45
2 Y 0.2106 0.0064 0.5000  4 Er 3.18-3.56, 3 Y 3.23-3.43, 2 Tm 3.44-3.45
3 Y 0.7894 0.9936 0.0000  4 Er 3.18-3.56, 3 Y 3.23-3.43, 2 Tm 3.44-3.45
4 Y 0.9936 0.7894 0.5000  4 Er 3.18-3.56, 3 Y 3.23-3.43, 2 Tm 3.44-3.45
5 Er 0.1300 0.3864 0.4991  3 Y 3.18-3.56
6 Er 0.3864 0.1300 0.9991  3 Y 3.18-3.56
7 Er 0.4121 0.5879 0.5012  4 Er 3.27-3.62, 3 Tm 3.31-3.54, 2 Y 3.46
8 Er 0.5879 0.4121 0.0012  4 Er 3.27-3.62, 3 Tm 3.31-3.54, 2 Y 3.46
9 Er 0.6136 0.8700 0.4991  3 Y 3.18-3.56
10 Er 0.8700 0.6136 0.9991  3 Y 3.18-3.56
11 Tm 0.2290 0.7710 0.0005  3 Er 3.31-3.54, 6 Y 3.44-3.64
12 Tm 0.7710 0.2290 0.5005  3 Er 3.31-3.54, 6 Y 3.44-3.64

***

(4)
The following is a PBE calculation of a geometry-optimized Y5Er4Tm3 structure, from Alexandria.

Properties
The polymorph energy (0 for the lowest one) is 0.2197 eV/atom. Its energy of formation from the pure elements is 23.9 kJ per mole of atoms. As for the space group: C2/m (12).

a b c (Å): 8.5441 8.5441 9.1914
angles (deg): 115.00 115.00 39.76
Last column: nearest neighbours and their distance in Å.
Positions (direct):
1 Y 0.0000 0.0000 0.0000  4 Tm 2.91-3.06
2 Y 0.3267 0.3267 0.6153  4 Tm 3.18-3.40, 3 Er 3.41-3.54
3 Y 0.4250 0.4250 0.2956  2 Tm 3.24-3.43, 1 Y 3.43, 2 Er 3.58
4 Y 0.5750 0.5750 0.7044  2 Tm 3.24-3.43, 1 Y 3.43, 2 Er 3.58
5 Y 0.6733 0.6733 0.3847  4 Tm 3.18-3.40, 3 Er 3.41-3.54
6 Er 0.0803 0.0803 0.4395  2 Er 3.24-3.62, 1 Tm 3.40, 3 Y 3.41-3.54
7 Er 0.2152 0.2152 0.8783  3 Tm 3.28-3.46, 3 Er 3.53-3.62, 3 Y 3.58-3.60
8 Er 0.7848 0.7848 0.1217  3 Tm 3.28-3.46, 3 Er 3.53-3.62, 3 Y 3.58-3.60
9 Er 0.9197 0.9197 0.5605  2 Er 3.24-3.62, 1 Tm 3.40, 3 Y 3.41-3.54
10 Tm 0.2092 0.2092 0.2302  5 Y 3.06-3.40, 2 Er 3.28-3.40
11 Tm 0.5000 0.5000 0.0000  2 Y 2.91
12 Tm 0.7908 0.7908 0.7698  5 Y 3.06-3.40, 2 Er 3.28-3.40

***

Number 1: V 381 Å³ per cell. Number 2: V 661 Å³ per cell. Number 3: V 407 Å³ per cell. Number 4: V 383 Å³ per cell.